Below is an optimized crystal structure of Li2Tm2ZrSe6, with properties calculated at the PBE-GGA level.

Lattice parameters (Å, degrees): 6.8605 6.8605 6.8815 99.43 99.43 119.63
Element x y z (fractional)
Se: 0.5970 0.9214 0.2545
Li: 0.1657 0.8343 0.0000
Tm: 0.3337 0.6663 0.5000
Se: 0.4030 0.0786 0.7455
Se: 0.7604 0.7604 0.7447
Se: 0.2396 0.2396 0.2553
Tm: 0.6663 0.3337 0.5000
Zr: 0.0000 0.0000 0.5000
Li: 0.8343 0.1657 0.0000
Se: 0.9214 0.5970 0.2545
Se: 0.0786 0.4030 0.7455

* crystal system: monoclinic
* space-group type: C2/m
* V: 266.1 Å³/f.u.
* formation energy without anion corrections: -1579 meV/atom